# Li2VCo | Alexandria via LeMat-Bulk | PBE | relaxed
# N(E_F) (states/eV per cell): 13.8
# Excess energy over the best structure of this formula in the dataset (kcal/mol of atoms): 0.23
# Calculated formation energy (eV per atom): 0.6748
data_Li2VCo
_chemical_formula_sum 'Li8 V4 Co4'
_symmetry_space_group_name_H-M 'F m -3 m'
_symmetry_Int_Tables_number 225
_symmetry_space_group_name_Hall '-F 4 2 3'
_cell_length_a 5.753
_cell_length_b 5.753
_cell_length_c 5.753
_cell_angle_alpha 90.00
_cell_angle_beta 90.00
_cell_angle_gamma 90.00
loop_
_atom_site_label
_atom_site_type_symbol
_atom_site_fract_x
_atom_site_fract_y
_atom_site_fract_z
Li1 Li 0.250 0.250 0.250
V1 V 0.000 0.000 0.000
Co1 Co 0.000 0.000 0.500